Record 1
A PBEsol-optimized structure of NaLaTc3, computed with SCAN.

Results
SG: Pm-3m
electronic total energy: -28.477 eV/atom

Lattice parameters (Å, degrees): 4.754 4.754 4.754 90.00 90.00 90.00
Sites, in units of the cell vectors:
Tc 0.000 0.500 0.000
Tc 0.500 0.000 0.000
Tc 0.000 0.000 0.500
Na 0.500 0.500 0.500
La 0.000 0.000 0.000


Record 2
A PBEsol-optimized structure of NaLaTl2, computed with SCAN.

Results
SG: Fm-3m
electronic total energy: -48.500 eV/atom

Lattice parameters (Å, degrees): 5.388 5.388 5.388 60.00 60.00 60.00
Sites, in units of the cell vectors:
Tl 0.750 0.750 0.750
Tl 0.250 0.250 0.250
La 0.500 0.500 0.500
Na 0.000 0.000 0.000


The records above yield ΔH_f (0 K) values of 2.0231; -0.4904 eV per atom, respectively.